{
  "formula": "HfGeAu2",
  "functional": "PBE-GGA",
  "state": "optimized geometry",
  "formation_enthalpy_0k_ev_per_atom": -0.2042,
  "lattice": [[-1.951, 1.951, 10.335], [1.951, -1.951, 10.335], [1.951, 1.951, -10.335]],
  "species": ["Hf", "Hf", "Ge", "Ge", "Au", "Au", "Au", "Au"],
  "frac_coords": [[0.000, 0.000, 0.000], [0.750, 0.250, 0.500], [0.250, 0.750, 0.500], [0.500, 0.500, 0.000], [0.127, 0.625, 0.002], [0.375, 0.377, 0.502], [0.623, 0.125, 0.998], [0.875, 0.873, 0.498]]
}

***

{
  "formula": "Ac2BeCdPd6",
  "functional": "PBE-GGA",
  "state": "optimized geometry",
  "formation_enthalpy_0k_ev_per_atom": -0.6295,
  "lattice": [[6.021, 0.000, 0.000], [3.001, 5.232, 0.000], [2.972, 1.716, 6.763]],
  "species": ["Ac", "Ac", "Be", "Cd", "Pd", "Pd", "Pd", "Pd", "Pd", "Pd"],
  "frac_coords": [[0.242, 0.244, 0.274], [0.758, 0.756, 0.726], [0.000, 0.000, 0.000], [0.500, 0.500, 0.500], [0.233, 0.705, 0.826], [0.234, 0.232, 0.819], [0.293, 0.768, 0.176], [0.707, 0.232, 0.824], [0.766, 0.768, 0.181], [0.767, 0.295, 0.174]]
}

***

{
  "formula": "Tb3Nd2Dy",
  "functional": "PBE-GGA",
  "state": "optimized geometry",
  "formation_enthalpy_0k_ev_per_atom": 0.0967,
  "lattice": [[8.602, -2.821, 0.000], [8.602, 2.821, 0.000], [-5.760, 0.000, 8.192]],
  "species": ["Tb", "Tb", "Tb", "Tb", "Tb", "Tb", "Nd", "Nd", "Nd", "Nd", "Dy", "Dy"],
  "frac_coords": [[0.045, 0.045, 0.388], [0.290, 0.290, 0.573], [0.386, 0.386, 0.342], [0.614, 0.614, 0.658], [0.710, 0.710, 0.427], [0.955, 0.955, 0.612], [0.232, 0.232, 0.875], [0.493, 0.493, 0.143], [0.507, 0.507, 0.857], [0.768, 0.768, 0.125], [0.131, 0.131, 0.132], [0.869, 0.869, 0.868]]
}

***

{
  "formula": "TiAs2RhBr",
  "functional": "PBE-GGA",
  "state": "optimized geometry",
  "lattice": [[4.871, 0.000, 0.000], [0.000, 4.871, 0.000], [0.000, 0.000, 4.930]],
  "species": ["Ti", "As", "As", "Rh", "Br"],
  "frac_coords": [[0.000, 0.000, 0.000], [0.000, 0.500, 0.000], [0.500, 0.000, 0.000], [0.500, 0.500, 0.500], [0.000, 0.000, 0.500]]
}

***

no.,E (eV per atom),Fermi-level density of states (states/eV/f.u.)
1,-5.4856,2.15
2,-5.0310,4.89
3,-4.5747,9.21
4,-4.7362,5.57